PBE La6MgAg, relaxed; polymorph energy (0 for the lowest one) = 62 meV per atom; space-group type = R-3, No. 148
1.0
9.5045 -0.0028 0.0478
4.7482 7.3242 -0.3203
4.7308 2.3002 3.7377
La Mg Ag
6 1 1
direct
0.0385 0.4427 0.7647 La
0.7538 0.9617 0.7268 La
0.5573 0.2460 0.1582 La
0.2462 0.0383 0.2732 La
0.9615 0.5573 0.2353 La
0.4427 0.7540 0.8418 La
0.5000 0.5000 0.5000 Mg
0.0000 0.0000 0.0000 Ag

***

PBE LaMg4Ag4, relaxed; space-group type = P4_2/nmc, No. 137; VASP energy = -47.8 eV/cell
1.0
6.6111 0.0000 0.0000
0.0000 6.6111 0.0000
0.0000 0.0000 9.3643
La Mg Ag
2 8 8
direct
0.0000 0.0000 0.0000 La
0.5000 0.5000 0.5000 La
0.2330 0.5000 0.9002 Mg
0.7670 0.5000 0.9002 Mg
0.5000 0.7670 0.0998 Mg
0.5000 0.2330 0.0998 Mg
0.0000 0.7330 0.4002 Mg
0.0000 0.2670 0.4002 Mg
0.2670 0.0000 0.5998 Mg
0.7330 0.0000 0.5998 Mg
0.5000 0.7882 0.8005 Ag
0.5000 0.2118 0.8005 Ag
0.7882 0.5000 0.1995 Ag
0.2118 0.5000 0.1995 Ag
0.2882 0.0000 0.3005 Ag
0.7118 0.0000 0.3005 Ag
0.0000 0.2882 0.6995 Ag
0.0000 0.7118 0.6995 Ag

***

PBE LaMg2Ag, relaxed; space-group type = Pnma, No. 62; VASP energy = -95.0 eV/cell
1.0
-2.7649 -0.2268 -5.1073
2.1358 -7.8317 -0.8084
-14.4624 -4.7740 8.0414
La Mg Ag
8 16 8
direct
0.4497 0.2500 0.1403 La
0.9497 0.7500 0.3597 La
0.5503 0.7500 0.8597 La
0.0503 0.2500 0.6403 La
0.7436 0.2500 0.3951 La
0.2436 0.7500 0.1049 La
0.2564 0.7500 0.6049 La
0.7564 0.2500 0.8951 La
0.9475 0.0553 0.2145 Mg
0.4475 0.9447 0.2855 Mg
0.0525 0.5553 0.7855 Mg
0.5525 0.4447 0.7145 Mg
0.0525 0.9447 0.7855 Mg
0.5525 0.0553 0.7145 Mg
0.9475 0.4447 0.2145 Mg
0.4475 0.5553 0.2855 Mg
0.7490 0.5557 0.0364 Mg
0.2490 0.4443 0.4636 Mg
0.2510 0.0557 0.9636 Mg
0.7510 0.9443 0.5364 Mg
0.2510 0.4443 0.9636 Mg
0.7510 0.5557 0.5364 Mg
0.7490 0.9443 0.0364 Mg
0.2490 0.0557 0.4636 Mg
0.2350 0.2500 0.3191 Ag
0.7350 0.7500 0.1809 Ag
0.7650 0.7500 0.6809 Ag
0.2650 0.2500 0.8191 Ag
0.9627 0.2500 0.0702 Ag
0.4627 0.7500 0.4298 Ag
0.0373 0.7500 0.9298 Ag
0.5373 0.2500 0.5702 Ag

***

PBE LaMg2Ag2, relaxed; polymorph energy (0 for the lowest one) = 78 meV per atom; space-group type = P4/mbm, No. 127
1.0
8.5057 0.0000 0.0000
0.0000 8.5057 0.0000
0.0000 0.0000 3.0830
Mg Ag La
4 4 2
direct
0.3759 0.8759 0.0000 Mg
0.8759 0.6241 0.0000 Mg
0.6241 0.1241 0.0000 Mg
0.1241 0.3759 0.0000 Mg
0.1713 0.6713 0.5000 Ag
0.6713 0.8287 0.5000 Ag
0.8287 0.3287 0.5000 Ag
0.3287 0.1713 0.5000 Ag
0.0000 0.0000 0.0000 La
0.5000 0.5000 0.0000 La

***

PBE LaMg2Ag, relaxed; space-group type = Immm, No. 71; VASP energy = -11.4 eV/cell
1.0
-2.7259 -0.1782 -5.8471
0.0585 -1.9353 -6.1565
-2.9733 -4.5209 -1.0829
Ag La Mg
1 1 2
direct
0.7500 0.7500 0.7500 Ag
0.2500 0.2500 0.2500 La
0.0369 0.0369 0.9639 Mg
0.4631 0.4631 0.5361 Mg

***

PBE La2Mg3Ag, relaxed; space-group type = Pmm2, No. 25; VASP energy = -18.4 eV/cell
1.0
-0.6592 0.5622 3.3558
3.5229 -3.6214 1.2988
6.4323 6.3302 0.2030
La Mg Ag
2 3 1
direct
0.0000 0.5000 0.0123 La
0.0000 0.0000 0.4894 La
0.5000 0.0000 0.8319 Mg
0.5000 0.0000 0.1682 Mg
0.5000 0.5000 0.6626 Mg
0.5000 0.5000 0.3356 Ag

***

Please write out number 4 again, unchanged.
PBE LaMg2Ag2, relaxed; polymorph energy (0 for the lowest one) = 78 meV per atom; space-group type = P4/mbm, No. 127
1.0
8.5057 0.0000 0.0000
0.0000 8.5057 0.0000
0.0000 0.0000 3.0830
Mg Ag La
4 4 2
direct
0.3759 0.8759 0.0000 Mg
0.8759 0.6241 0.0000 Mg
0.6241 0.1241 0.0000 Mg
0.1241 0.3759 0.0000 Mg
0.1713 0.6713 0.5000 Ag
0.6713 0.8287 0.5000 Ag
0.8287 0.3287 0.5000 Ag
0.3287 0.1713 0.5000 Ag
0.0000 0.0000 0.0000 La
0.5000 0.5000 0.0000 La

***

Number 3 is which compound? LaMg2Ag